# 1
Compound: Pm4Zn3Pt
Source: the Alexandria database
Functional: PBE
Structure: optimized geometry

As for the energy above the lowest structure with this stoichiometry: 0.15 eV per formula unit. The mass density comes out at 8.1 g/cm³. As for the total energy: -32.9 eV for the cell shown.

Geometry as CIF:
```
data_Pm4Zn3Pt
_chemical_formula_sum 'Pm4 Zn3 Pt1'
_space_group_name_H-M_alt 'P 1'
_space_group_IT_number 1
_space_group_name_Hall 'P 1'
_cell_length_a 3.8585
_cell_length_b 4.5927
_cell_length_c 11.2335
_cell_angle_alpha 90.00
_cell_angle_beta 90.00
_cell_angle_gamma 90.00
loop_
_atom_site_label
_atom_site_type_symbol
_atom_site_fract_x
_atom_site_fract_y
_atom_site_fract_z
Pm1 Pm 0.5000 0.5000 0.3457
Pm2 Pm 0.0000 0.5000 0.8663
Pm3 Pm 0.0000 0.0000 0.1417
Pm4 Pm 0.5000 0.0000 0.6493
Zn1 Zn 0.0000 0.5000 0.5690
Zn2 Zn 0.0000 0.0000 0.4277
Zn3 Zn 0.5000 0.0000 0.9273
Pt1 Pt 0.5000 0.5000 0.0731
```

***

# 2
Compound: PmZn2Pt
Source: the Alexandria database
Functional: PBE
Structure: optimized geometry

As for the energy above the lowest structure with this stoichiometry: 0.66 eV per formula unit. The mass density comes out at 10.6 g/cm³. As for the total energy: -15.5 eV for the cell shown.

Geometry as CIF:
```
data_PmZn2Pt
_chemical_formula_sum 'Pm1 Zn2 Pt1'
_space_group_name_H-M_alt 'P 1'
_space_group_IT_number 1
_space_group_name_Hall 'P 1'
_cell_length_a 4.7008
_cell_length_b 4.7008
_cell_length_c 4.7008
_cell_angle_alpha 60.00
_cell_angle_beta 60.00
_cell_angle_gamma 60.00
loop_
_atom_site_label
_atom_site_type_symbol
_atom_site_fract_x
_atom_site_fract_y
_atom_site_fract_z
Zn1 Zn 0.2500 0.2500 0.2500
Zn2 Zn 0.7500 0.7500 0.7500
Pt1 Pt 0.5000 0.5000 0.5000
Pm1 Pm 0.0000 0.0000 0.0000
```

***

# 3
Compound: PmZn4Pt8
Source: the Alexandria database
Functional: PBE
Structure: optimized geometry

The mass density comes out at 15.5 g/cm³. As for the total energy: -65.6 eV for the cell shown.

Geometry as CIF:
```
data_PmZn4Pt8
_chemical_formula_sum 'Pm1 Zn4 Pt8'
_space_group_name_H-M_alt 'P 1'
_space_group_IT_number 1
_space_group_name_Hall 'P 1'
_cell_length_a 5.3285
_cell_length_b 6.8361
_cell_length_c 6.8361
_cell_angle_alpha 81.26
_cell_angle_beta 67.06
_cell_angle_gamma 67.06
loop_
_atom_site_label
_atom_site_type_symbol
_atom_site_fract_x
_atom_site_fract_y
_atom_site_fract_z
Pm1 Pm 0.0000 0.0000 0.0000
Zn1 Zn 0.0000 0.0000 0.5000
Zn2 Zn 0.5000 0.0000 0.5000
Zn3 Zn 0.0000 0.5000 0.0000
Zn4 Zn 0.5000 0.5000 0.0000
Pt1 Pt 0.0000 0.3426 0.6574
Pt2 Pt 0.0000 0.6574 0.3426
Pt3 Pt 0.3426 0.6574 0.6574
Pt4 Pt 0.6574 0.3426 0.3426
Pt5 Pt 0.5000 0.7755 0.2245
Pt6 Pt 0.5000 0.2245 0.7755
Pt7 Pt 0.2755 0.2245 0.2245
Pt8 Pt 0.7245 0.7755 0.7755
```

***

# 4
Compound: PmZn2Pt3
Source: the Alexandria database
Functional: PBE
Structure: optimized geometry

As for the energy above the lowest structure with this stoichiometry: 0.00 eV per formula unit. The mass density comes out at 13.2 g/cm³. As for the total energy: -30.3 eV for the cell shown.

Geometry as CIF:
```
data_PmZn2Pt3
_chemical_formula_sum 'Pm1 Zn2 Pt3'
_space_group_name_H-M_alt 'P 1'
_space_group_IT_number 1
_space_group_name_Hall 'P 1'
_cell_length_a 4.0317
_cell_length_b 5.5714
_cell_length_c 5.5714
_cell_angle_alpha 120.00
_cell_angle_beta 90.00
_cell_angle_gamma 90.00
loop_
_atom_site_label
_atom_site_type_symbol
_atom_site_fract_x
_atom_site_fract_y
_atom_site_fract_z
Pm1 Pm 0.0000 0.0012 0.0000
Zn1 Zn 0.0000 0.3345 0.6666
Zn2 Zn 0.0000 0.6680 0.3334
Pt1 Pt 0.5000 0.0012 0.5000
Pt2 Pt 0.5000 0.5013 0.5000
Pt3 Pt 0.5000 0.5013 0.0000
```

***

# 5
Compound: Pm4ZnPt
Source: the Alexandria database
Functional: PBE
Structure: optimized geometry

As for the energy above the lowest structure with this stoichiometry: 0.00 eV per formula unit. The mass density comes out at 8.3 g/cm³. As for the total energy: -117.6 eV for the cell shown.

Geometry as CIF:
```
data_Pm4ZnPt
_chemical_formula_sum 'Pm16 Zn4 Pt4'
_space_group_name_H-M_alt 'P 1'
_space_group_IT_number 1
_space_group_name_Hall 'P 1'
_cell_length_a 9.8164
_cell_length_b 9.8164
_cell_length_c 9.8164
_cell_angle_alpha 60.00
_cell_angle_beta 60.00
_cell_angle_gamma 60.00
loop_
_atom_site_label
_atom_site_type_symbol
_atom_site_fract_x
_atom_site_fract_y
_atom_site_fract_z
Pm1 Pm 0.3946 0.3946 0.3946
Pm2 Pm 0.8162 0.3946 0.3946
Pm3 Pm 0.3946 0.8162 0.3946
Pm4 Pm 0.3946 0.3946 0.8162
Pm5 Pm 0.5566 0.5566 0.9434
Pm6 Pm 0.9434 0.9434 0.5566
Pm7 Pm 0.5566 0.9434 0.5566
Pm8 Pm 0.9434 0.5566 0.9434
Pm9 Pm 0.9434 0.5566 0.5566
Pm10 Pm 0.5566 0.9434 0.9434
Pm11 Pm 0.1861 0.1861 0.8139
Pm12 Pm 0.8139 0.8139 0.1861
Pm13 Pm 0.1861 0.8139 0.1861
Pm14 Pm 0.8139 0.1861 0.8139
Pm15 Pm 0.8139 0.1861 0.1861
Pm16 Pm 0.1861 0.8139 0.8139
Zn1 Zn 0.1700 0.1700 0.1700
Zn2 Zn 0.4899 0.1700 0.1700
Zn3 Zn 0.1700 0.4899 0.1700
Zn4 Zn 0.1700 0.1700 0.4899
Pt1 Pt 0.6056 0.6056 0.6056
Pt2 Pt 0.1832 0.6056 0.6056
Pt3 Pt 0.6056 0.1832 0.6056
Pt4 Pt 0.6056 0.6056 0.1832
```

***

# 6
Compound: PmZnPt2
Source: the Alexandria database
Functional: PBE
Structure: optimized geometry

The mass density comes out at 13.2 g/cm³. As for the total energy: -21.1 eV for the cell shown.

Geometry as CIF:
```
data_PmZnPt2
_chemical_formula_sum 'Pm1 Zn1 Pt2'
_space_group_name_H-M_alt 'P 1'
_space_group_IT_number 1
_space_group_name_Hall 'P 1'
_cell_length_a 3.4023
_cell_length_b 3.4023
_cell_length_c 6.5287
_cell_angle_alpha 90.00
_cell_angle_beta 90.00
_cell_angle_gamma 90.00
loop_
_atom_site_label
_atom_site_type_symbol
_atom_site_fract_x
_atom_site_fract_y
_atom_site_fract_z
Zn1 Zn 0.5000 0.5000 0.0000
Pt1 Pt 0.0000 0.0000 0.7880
Pt2 Pt 0.0000 0.0000 0.2120
Pm1 Pm 0.5000 0.5000 0.5000
```

***

# 7
Compound: PmZnPt
Source: the Alexandria database
Functional: PBE
Structure: optimized geometry

As for the energy above the lowest structure with this stoichiometry: 0.00 eV per formula unit. The mass density comes out at 10.8 g/cm³. As for the total energy: -59.2 eV for the cell shown.

Geometry as CIF:
```
data_PmZnPt
_chemical_formula_sum 'Pm4 Zn4 Pt4'
_space_group_name_H-M_alt 'P 1'
_space_group_IT_number 1
_space_group_name_Hall 'P 1'
_cell_length_a 4.1900
_cell_length_b 8.3031
_cell_length_c 7.1661
_cell_angle_alpha 90.00
_cell_angle_beta 90.00
_cell_angle_gamma 90.00
loop_
_atom_site_label
_atom_site_type_symbol
_atom_site_fract_x
_atom_site_fract_y
_atom_site_fract_z
Pm1 Pm 0.2500 0.8091 0.4609
Pm2 Pm 0.7500 0.3091 0.0391
Pm3 Pm 0.2500 0.6909 0.9609
Pm4 Pm 0.7500 0.1909 0.5391
Zn1 Zn 0.7500 0.9332 0.1431
Zn2 Zn 0.7500 0.5668 0.6431
Zn3 Zn 0.2500 0.0668 0.8569
Zn4 Zn 0.2500 0.4332 0.3569
Pt1 Pt 0.7500 0.6155 0.2583
Pt2 Pt 0.7500 0.8845 0.7583
Pt3 Pt 0.2500 0.1155 0.2417
Pt4 Pt 0.2500 0.3845 0.7417
```

***

# 8
Compound: PmZnPt
Source: the Alexandria database
Functional: PBE
Structure: optimized geometry

As for the energy above the lowest structure with this stoichiometry: 3.34 eV per formula unit. The mass density comes out at 10.0 g/cm³. As for the total energy: -11.5 eV for the cell shown.

Geometry as CIF:
```
data_PmZnPt
_chemical_formula_sum 'Pm1 Zn1 Pt1'
_space_group_name_H-M_alt 'P 1'
_space_group_IT_number 1
_space_group_name_Hall 'P 1'
_cell_length_a 2.9861
_cell_length_b 2.9861
_cell_length_c 7.8071
_cell_angle_alpha 101.03
_cell_angle_beta 101.03
_cell_angle_gamma 90.00
loop_
_atom_site_label
_atom_site_type_symbol
_atom_site_fract_x
_atom_site_fract_y
_atom_site_fract_z
Zn1 Zn 0.7810 0.7810 0.5620
Pt1 Pt 0.9450 0.9450 0.8901
Pm1 Pm 0.1240 0.1240 0.2479
```

***

- Number 8 is which compound?
  PmZnPt